A relaxed TbAlGa2Ni2 crystal. Source: Alexandria via LeMat-Bulk, functional PBE-GGA.

Unit cell a=4.331 b=4.331 c=5.564 alpha=90.00 beta=90.00 gamma=90.00
Atoms (fractional coordinates):
1 Tb 0.000 0.000 0.000
2 Al 0.000 0.000 0.500
3 Ga 0.500 0.500 0.243
4 Ga 0.500 0.500 0.757
5 Ni 0.000 0.500 0.500
6 Ni 0.500 0.000 0.500

Computed properties:
Crystal system   tetragonal
Energy of formation   -265 meV/atom

A relaxed Al2GaNiTe crystal. Source: Alexandria via LeMat-Bulk, functional PBE-GGA.

Unit cell a=4.537 b=4.537 c=5.326 alpha=90.00 beta=90.00 gamma=90.00
Atoms (fractional coordinates):
1 Al 0.000 0.500 0.000
2 Al 0.500 0.000 0.000
3 Ga 0.000 0.000 0.500
4 Ni 0.500 0.500 0.000
5 Te 0.500 0.500 0.500

Computed properties:
E_form (uncorrected)   70.1 meV/atom
Crystal system   tetragonal

A relaxed ThAl2GaNi4 crystal. Source: Alexandria via LeMat-Bulk, functional PBE-GGA.

Unit cell a=8.718 b=8.718 c=8.718 alpha=27.03 beta=27.03 gamma=27.03
Atoms (fractional coordinates):
1 Th 0.000 0.000 0.000
2 Al 0.236 0.236 0.236
3 Al 0.764 0.764 0.764
4 Ga 0.500 0.500 0.500
5 Ni 0.133 0.133 0.133
6 Ni 0.404 0.404 0.404
7 Ni 0.596 0.596 0.596
8 Ni 0.867 0.867 0.867

Computed properties:
Crystal system   trigonal
Energy of formation   -528 meV/atom

A relaxed ThAlGaNi crystal. Source: Alexandria via LeMat-Bulk, functional PBE-GGA.

Unit cell a=5.852 b=5.852 c=5.852 alpha=41.19 beta=41.19 gamma=41.19
Atoms (fractional coordinates):
1 Th 0.000 0.000 0.000
2 Al 0.795 0.795 0.795
3 Ga 0.208 0.208 0.208
4 Ni 0.498 0.498 0.498

Computed properties:
Crystal system   trigonal
Energy of formation   -516 meV/atom

A relaxed ThAlGa2Ni5 crystal. Source: Alexandria via LeMat-Bulk, functional PBE-GGA.

Unit cell a=3.989 b=3.989 c=8.669 alpha=90.00 beta=90.00 gamma=90.00
Atoms (fractional coordinates):
1 Th 0.000 0.000 0.000
2 Al 0.000 0.000 0.500
3 Ga 0.500 0.500 0.364
4 Ga 0.500 0.500 0.636
5 Ni 0.000 0.500 0.221
6 Ni 0.000 0.500 0.779
7 Ni 0.500 0.000 0.221
8 Ni 0.500 0.000 0.779
9 Ni 0.500 0.500 0.000

Computed properties:
Crystal system   tetragonal
Energy of formation   -145 meV/atom

A relaxed Th2AlGa3Ni12 crystal. Source: Alexandria via LeMat-Bulk, functional PBE-GGA.

Unit cell a=6.399 b=6.399 c=6.399 alpha=83.17 beta=83.17 gamma=83.17
Atoms (fractional coordinates):
1 Th 0.155 0.155 0.155
2 Th 0.845 0.845 0.845
3 Al 0.500 0.500 0.500
4 Ga 0.000 0.500 0.500
5 Ga 0.500 0.000 0.500
6 Ga 0.500 0.500 0.000
7 Ni 0.106 0.106 0.606
8 Ni 0.106 0.606 0.106
9 Ni 0.219 0.692 0.692
10 Ni 0.308 0.308 0.781
11 Ni 0.308 0.781 0.308
12 Ni 0.394 0.894 0.894
13 Ni 0.606 0.106 0.106
14 Ni 0.692 0.219 0.692
15 Ni 0.692 0.692 0.219
16 Ni 0.781 0.308 0.308
17 Ni 0.894 0.394 0.894
18 Ni 0.894 0.894 0.394

Computed properties:
Crystal system   trigonal
Energy of formation   -220 meV/atom

DOS(E_F) values (in states/eV/f.u.) by entry order: 3.95; 2.11; 5.76; 2.37; 3.66; 14.18.
Total DFT energy (no corrections) values (in eV/atom) by entry order: -4.596; -3.817; -5.660; -5.509; -5.270; -5.611.
Spin magnetization values (in μB per formula unit) by entry order: 0.0; 0.0; 0.0; 0.0; 0.0; 0.0.